No. 1
This record from Alexandria via LeMat-Bulk describes MnFeRu2 after structural relaxation. The functional is GGA-PBE.

- Mass density: 9.85 g cm⁻³
- Energy of formation: 0.136 eV/atom
- N(E_F): 8.70 states/eV per cell

Geometry as CIF:
```
data_MnFeRu2
_chemical_formula_sum 'Mn2 Fe2 Ru4'
_cell_length_a 2.970
_cell_length_b 4.189
_cell_length_c 8.479
_cell_angle_alpha 90.00
_cell_angle_beta 90.00
_cell_angle_gamma 90.00
_symmetry_space_group_name_H-M 'I m m 2'
_symmetry_Int_Tables_number 44
loop_
_symmetry_equiv_pos_as_xyz
'x,y,z'
'-x,-y,z'
'-x,y,z'
'x,-y,z'
'x+1/2,y+1/2,z+1/2'
'-x+1/2,-y+1/2,z+1/2'
'-x+1/2,y+1/2,z+1/2'
'x+1/2,-y+1/2,z+1/2'
loop_
_atom_site_label
_atom_site_type_symbol
_atom_site_fract_x
_atom_site_fract_y
_atom_site_fract_z
Mn1 Mn 0.000 0.000 0.000
Fe1 Fe 0.000 0.500 0.262
Ru1 Ru 0.000 0.000 0.515
Ru2 Ru 0.000 0.500 0.750
```

---

No. 2
This record from Alexandria via LeMat-Bulk describes MnFeRu after structural relaxation. The functional is GGA-PBE.

- Mass density: 9.20 g cm⁻³
- Energy of formation: 0.246 eV/atom
- N(E_F): 14.69 states/eV per cell
- Energy relative to the lowest polymorph listed for this composition: 144 meV/atom

Geometry as CIF:
```
data_MnFeRu
_chemical_formula_sum 'Mn4 Fe4 Ru4'
_cell_length_a 2.833
_cell_length_b 4.313
_cell_length_c 12.520
_cell_angle_alpha 90.00
_cell_angle_beta 90.00
_cell_angle_gamma 90.00
_symmetry_space_group_name_H-M 'F m m 2'
_symmetry_Int_Tables_number 42
_symmetry_space_group_name_Hall 'F 2 -2'
loop_
_atom_site_label
_atom_site_type_symbol
_atom_site_fract_x
_atom_site_fract_y
_atom_site_fract_z
Mn1 Mn 0.000 0.000 0.000
Fe1 Fe 0.000 0.000 0.340
Ru1 Ru 0.000 0.000 0.668
```

---

No. 3
This record from Alexandria via LeMat-Bulk describes MnFeRu2 after structural relaxation. The functional is GGA-PBE.

- Mass density: 9.65 g cm⁻³
- Energy of formation: 0.255 eV/atom
- N(E_F): 4.97 states/eV per cell

Geometry as CIF:
```
data_MnFeRu2
_chemical_formula_sum 'Mn1 Fe1 Ru2'
_cell_length_a 2.639
_cell_length_b 4.229
_cell_length_c 4.853
_cell_angle_alpha 90.00
_cell_angle_beta 96.37
_cell_angle_gamma 90.00
_symmetry_space_group_name_H-M 'P 1 2/m 1'
_symmetry_Int_Tables_number 10
loop_
_symmetry_equiv_pos_as_xyz
'x,y,z'
'-x,-y,-z'
'-x,y,-z'
'x,-y,z'
loop_
_atom_site_label
_atom_site_type_symbol
_atom_site_fract_x
_atom_site_fract_y
_atom_site_fract_z
Mn1 Mn 0.000 0.000 0.000
Fe1 Fe 0.500 0.000 0.500
Ru1 Ru 0.256 0.500 0.748
```

---

No. 4
This record from Alexandria via LeMat-Bulk describes MnFe2Ru after structural relaxation. The functional is GGA-PBE.

- Mass density: 9.02 g cm⁻³
- Energy of formation: 0.118 eV/atom
- N(E_F): 9.07 states/eV per cell

Geometry as CIF:
```
data_MnFe2Ru
_chemical_formula_sum 'Mn2 Fe4 Ru2'
_cell_length_a 2.907
_cell_length_b 4.129
_cell_length_c 8.209
_cell_angle_alpha 90.00
_cell_angle_beta 90.00
_cell_angle_gamma 90.00
_symmetry_space_group_name_H-M 'I m m 2'
_symmetry_Int_Tables_number 44
loop_
_symmetry_equiv_pos_as_xyz
'x,y,z'
'-x,-y,z'
'-x,y,z'
'x,-y,z'
'x+1/2,y+1/2,z+1/2'
'-x+1/2,-y+1/2,z+1/2'
'-x+1/2,y+1/2,z+1/2'
'x+1/2,-y+1/2,z+1/2'
loop_
_atom_site_label
_atom_site_type_symbol
_atom_site_fract_x
_atom_site_fract_y
_atom_site_fract_z
Mn1 Mn 0.000 0.000 0.000
Fe1 Fe 0.000 0.000 0.507
Fe2 Fe 0.000 0.500 0.252
Ru1 Ru 0.000 0.500 0.751
```

---

No. 5
This record from Alexandria via LeMat-Bulk describes MnFe2Ru after structural relaxation. The functional is GGA-PBE.

- Mass density: 9.02 g cm⁻³
- Energy of formation: 0.073 eV/atom
- N(E_F): 3.50 states/eV per cell

Geometry as CIF:
```
data_MnFe2Ru
_chemical_formula_sum 'Mn1 Fe2 Ru1'
_cell_length_a 2.887
_cell_length_b 2.887
_cell_length_c 5.916
_cell_angle_alpha 90.00
_cell_angle_beta 90.00
_cell_angle_gamma 90.00
_symmetry_space_group_name_H-M 'P 4 m m'
_symmetry_Int_Tables_number 99
loop_
_symmetry_equiv_pos_as_xyz
'x,y,z'
'-y,x,z'
'-x,-y,z'
'y,-x,z'
'-x,y,z'
'y,x,z'
'x,-y,z'
'-y,-x,z'
loop_
_atom_site_label
_atom_site_type_symbol
_atom_site_fract_x
_atom_site_fract_y
_atom_site_fract_z
Mn1 Mn 0.000 0.000 0.000
Fe1 Fe 0.000 0.000 0.526
Fe2 Fe 0.500 0.500 0.757
Ru1 Ru 0.500 0.500 0.255
```

---

No. 6
This record from Alexandria via LeMat-Bulk describes MnFeRu2 after structural relaxation. The functional is GGA-PBE.

- Mass density: 10.13 g cm⁻³
- Energy of formation: 0.148 eV/atom
- N(E_F): 10.47 states/eV per cell

Geometry as CIF:
```
data_MnFeRu2
_chemical_formula_sum 'Mn3 Fe3 Ru6'
_cell_length_a 2.6382
_cell_length_b 2.6382
_cell_length_c 25.5264
_cell_angle_alpha 90.00
_cell_angle_beta 90.00
_cell_angle_gamma 120.00
_symmetry_space_group_name_H-M 'R -3 m'
_symmetry_Int_Tables_number 166
_symmetry_space_group_name_Hall '-R 3 2"'
loop_
_atom_site_label
_atom_site_type_symbol
_atom_site_fract_x
_atom_site_fract_y
_atom_site_fract_z
Mn1 Mn 0.0000 0.0000 0.0000
Fe1 Fe 0.0000 0.0000 0.5000
Ru1 Ru 0.0000 0.0000 0.2526
```

---

No. 7
This record from Alexandria via LeMat-Bulk describes MnFeRu2 after structural relaxation. The functional is GGA-PBE.

- Mass density: 10.29 g cm⁻³
- Energy of formation: 0.135 eV/atom
- N(E_F): 4.75 states/eV per cell

Geometry as CIF:
```
data_MnFeRu2
_chemical_formula_sum 'Mn1 Fe1 Ru2'
_cell_length_a 2.643
_cell_length_b 3.669
_cell_length_c 5.205
_cell_angle_alpha 90.00
_cell_angle_beta 90.00
_cell_angle_gamma 90.00
_symmetry_space_group_name_H-M 'P m m 2'
_symmetry_Int_Tables_number 25
loop_
_symmetry_equiv_pos_as_xyz
'x,y,z'
'-x,-y,z'
'-x,y,z'
'x,-y,z'
loop_
_atom_site_label
_atom_site_type_symbol
_atom_site_fract_x
_atom_site_fract_y
_atom_site_fract_z
Mn1 Mn 0.000 0.000 0.000
Fe1 Fe 0.500 0.500 0.761
Ru1 Ru 0.000 0.000 0.521
Ru2 Ru 0.500 0.500 0.244
```

---

No. 8
This record from Alexandria via LeMat-Bulk describes MnFeRu after structural relaxation. The functional is GGA-PBE.

- Mass density: 9.80 g cm⁻³
- Energy of formation: 0.103 eV/atom
- N(E_F): 4.13 states/eV per cell
- Energy relative to the lowest polymorph listed for this composition: 0 meV/atom

Geometry as CIF:
```
data_MnFeRu
_chemical_formula_sum 'Mn1 Fe1 Ru1'
_cell_length_a 4.0033
_cell_length_b 4.0033
_cell_length_c 2.5864
_cell_angle_alpha 90.00
_cell_angle_beta 90.00
_cell_angle_gamma 120.00
_symmetry_space_group_name_H-M 'P -6 m 2'
_symmetry_Int_Tables_number 187
_symmetry_space_group_name_Hall 'P -6 2'
loop_
_atom_site_label
_atom_site_type_symbol
_atom_site_fract_x
_atom_site_fract_y
_atom_site_fract_z
Mn1 Mn 0.0000 0.0000 0.0000
Fe1 Fe 0.3333 0.6667 0.0000
Ru1 Ru 0.6667 0.3333 0.5000
```

---

No. 9
This record from Alexandria via LeMat-Bulk describes MnFeRu2 after structural relaxation. The functional is GGA-PBE.

- Mass density: 9.80 g cm⁻³
- Energy of formation: 0.094 eV/atom
- N(E_F): 3.05 states/eV per cell

Geometry as CIF:
```
data_MnFeRu2
_chemical_formula_sum 'Mn1 Fe1 Ru2'
_cell_length_a 2.977
_cell_length_b 2.977
_cell_length_c 5.986
_cell_angle_alpha 90.00
_cell_angle_beta 90.00
_cell_angle_gamma 90.00
_symmetry_space_group_name_H-M 'P 4/m m m'
_symmetry_Int_Tables_number 123
_symmetry_space_group_name_Hall '-P 4 2'
loop_
_atom_site_label
_atom_site_type_symbol
_atom_site_fract_x
_atom_site_fract_y
_atom_site_fract_z
Mn1 Mn 0.000 0.000 0.000
Fe1 Fe 0.000 0.000 0.500
Ru1 Ru 0.500 0.500 0.251
```

---

No. 10
This record from Alexandria via LeMat-Bulk describes MnFe2Ru after structural relaxation. The functional is GGA-PBE.

- Mass density: 9.36 g cm⁻³
- Energy of formation: 0.066 eV/atom
- N(E_F): 7.97 states/eV per cell

Geometry as CIF:
```
data_MnFe2Ru
_chemical_formula_sum 'Mn2 Fe4 Ru2'
_cell_length_a 3.596
_cell_length_b 3.596
_cell_length_c 7.346
_cell_angle_alpha 90.00
_cell_angle_beta 90.00
_cell_angle_gamma 90.00
_symmetry_space_group_name_H-M 'I -4 m 2'
_symmetry_Int_Tables_number 119
_symmetry_space_group_name_Hall 'I -4 -2'
loop_
_atom_site_label
_atom_site_type_symbol
_atom_site_fract_x
_atom_site_fract_y
_atom_site_fract_z
Mn1 Mn 0.000 0.000 0.000
Fe1 Fe 0.000 0.000 0.500
Fe2 Fe 0.000 0.500 0.250
Ru1 Ru 0.000 0.500 0.750
```